The following is a DFT calculation (PBE) of crystalline Th6Ga2Co at its relaxed geometry.

Output
E (eV per atom): -6.639
Formation energy from the elements (eV per atom): -0.230

Lattice parameters (Å, degrees): 6.2118 8.0899 11.5517 90.00 120.86 90.00
Closest atoms and distances in Å follow each position.
Element x y z (fractional)
Th1 0.0702 0.1820 0.4485  1 Co 2.83, 2 Ga 3.08-3.13
Th2 0.0702 0.3180 0.9485  1 Co 2.83, 2 Ga 3.08-3.13
Th3 0.3209 0.6695 0.4479  1 Co 2.84, 2 Ga 3.08-3.14
Th4 0.3209 0.8305 0.9479  1 Co 2.84, 2 Ga 3.08-3.14
Th5 0.3710 0.0243 0.2482  1 Co 2.60
Th6 0.3710 0.4757 0.7482  1 Co 2.60
Th7 0.6290 0.5243 0.2518  1 Co 2.60
Th8 0.6290 0.9757 0.7518  1 Co 2.60
Th9 0.6791 0.1695 0.0521  1 Co 2.84, 2 Ga 3.08-3.14
Th10 0.6791 0.3305 0.5521  1 Co 2.84, 2 Ga 3.08-3.14
Th11 0.9298 0.6820 0.0515  1 Co 2.83, 2 Ga 3.08-3.13
Th12 0.9298 0.8180 0.5515  1 Co 2.83, 2 Ga 3.08-3.13
Ga1 0.1544 0.1204 0.7472  8 Th 3.08-3.38
Ga2 0.1544 0.3796 0.2472  8 Th 3.08-3.38
Ga3 0.8456 0.6204 0.7528  8 Th 3.08-3.38
Ga4 0.8456 0.8796 0.2528  8 Th 3.08-3.38
Co1 0.5000 0.0000 0.5000  6 Th 2.60-2.84
Co2 0.5000 0.5000 0.0000  6 Th 2.60-2.84

***

The following is a DFT calculation (PBE) of crystalline Th2Ga2Co3 at its relaxed geometry.

Output
E (eV per atom): -6.405
Formation energy from the elements (eV per atom): -0.375
Distance to the lowest polymorph of the same formula (meV per atom): 0

Lattice parameters (Å, degrees): 6.6238 6.6238 5.4972 90.65 90.65 33.79
Closest atoms and distances in Å follow each position.
Element x y z (fractional)
Th1 0.1313 0.1313 0.1531  4 Co 2.67-2.74
Th2 0.8687 0.8687 0.8469  4 Co 2.67-2.74
Ga1 0.3822 0.3822 0.3297  4 Co 2.36-2.51
Ga2 0.6178 0.6178 0.6703  4 Co 2.36-2.51
Co1 0.2434 0.2434 0.6394  3 Ga 2.46-2.51, 2 Co 2.47, 2 Th 2.74
Co2 0.5000 0.5000 0.0000  2 Ga 2.36
Co3 0.7566 0.7566 0.3606  3 Ga 2.46-2.51, 2 Co 2.47, 2 Th 2.74

***

The following is a DFT calculation (PBE) of crystalline Th2Ga12Co7 at its relaxed geometry.

Output
E (eV per atom): -5.167
Formation energy from the elements (eV per atom): -0.362

Lattice parameters (Å, degrees): 9.5986 9.5986 3.9947 90.00 90.00 120.00
Closest atoms and distances in Å follow each position.
Element x y z (fractional)
Th1 0.0000 0.0000 0.0000  6 Co 3.15, 12 Ga 3.17-3.27
Th2 0.3333 0.6667 0.5000  6 Ga 3.06, 6 Co 3.31
Ga1 0.0120 0.2752 0.5000  2 Co 2.43-2.60, 5 Ga 2.67-2.70
Ga2 0.1650 0.7745 0.0000  4 Co 2.45-2.53, 2 Ga 2.67
Ga3 0.2255 0.3905 0.0000  4 Co 2.45-2.53, 2 Ga 2.67
Ga4 0.2633 0.9880 0.5000  2 Co 2.43-2.60, 5 Ga 2.67-2.70
Ga5 0.3811 0.2059 0.0000  4 Co 2.38-2.62
Ga6 0.5505 0.4134 0.5000  5 Co 2.42-2.58, 3 Ga 2.69-2.71
Ga7 0.5866 0.1371 0.5000  5 Co 2.42-2.58, 3 Ga 2.69-2.71
Ga8 0.6095 0.8350 0.0000  4 Co 2.45-2.53, 2 Ga 2.67
Ga9 0.7248 0.7367 0.5000  2 Co 2.43-2.60, 5 Ga 2.67-2.70
Ga10 0.7941 0.1752 0.0000  4 Co 2.38-2.62
Ga11 0.8248 0.6189 0.0000  4 Co 2.38-2.62
Ga12 0.8629 0.4495 0.5000  5 Co 2.42-2.58, 3 Ga 2.69-2.71
Co1 0.9999 0.7459 0.5000  7 Ga 2.43-2.60
Co2 0.0184 0.4795 0.0000  5 Ga 2.42-2.62
Co3 0.2541 0.2540 0.5000  7 Ga 2.43-2.60
Co4 0.4611 0.9816 0.0000  5 Ga 2.42-2.62
Co5 0.5205 0.5389 0.0000  5 Ga 2.42-2.62
Co6 0.6667 0.3333 0.0000  9 Ga 2.38-2.58
Co7 0.7460 0.0001 0.5000  7 Ga 2.43-2.60

***

The following is a DFT calculation (PBE) of crystalline ThGa2Co3 at its relaxed geometry.

Output
E (eV per atom): -6.201
Formation energy from the elements (eV per atom): -0.402

Lattice parameters (Å, degrees): 5.2726 5.2726 3.8552 90.00 90.00 120.00
Closest atoms and distances in Å follow each position.
Element x y z (fractional)
Th1 0.0000 0.0000 0.0000  6 Co 2.81
Ga1 0.3333 0.6667 0.7459  6 Co 2.43-2.49
Ga2 0.6667 0.3333 0.7459  6 Co 2.43-2.49
Co1 0.0000 0.5000 0.2558  4 Ga 2.43-2.49, 4 Co 2.64
Co2 0.5000 0.0000 0.2558  4 Ga 2.43-2.49, 4 Co 2.64
Co3 0.5000 0.5000 0.2558  4 Ga 2.43-2.49, 4 Co 2.64

***

The following is a DFT calculation (PBE) of crystalline Th2GaCo3 at its relaxed geometry.

Output
E (eV per atom): -6.842
Formation energy from the elements (eV per atom): -0.311
Distance to the lowest polymorph of the same formula (meV per atom): 0

Lattice parameters (Å, degrees): 6.7544 3.8110 16.6312 90.00 90.00 90.00
Closest atoms and distances in Å follow each position.
Element x y z (fractional)
Th1 0.1109 0.2500 0.2098  7 Co 2.79-2.88
Th2 0.1452 0.2500 0.4264  7 Co 2.74-2.92
Th3 0.3548 0.7500 0.9264  7 Co 2.74-2.92
Th4 0.3891 0.7500 0.7098  7 Co 2.79-2.88
Th5 0.6109 0.2500 0.2902  7 Co 2.79-2.88
Th6 0.6452 0.2500 0.0736  7 Co 2.74-2.92
Th7 0.8548 0.7500 0.5736  7 Co 2.74-2.92
Th8 0.8891 0.7500 0.7902  7 Co 2.79-2.88
Ga1 0.0206 0.7500 0.0629  4 Co 2.44-2.60
Ga2 0.4794 0.2500 0.5629  4 Co 2.44-2.60
Ga3 0.5206 0.7500 0.4371  4 Co 2.44-2.60
Ga4 0.9794 0.2500 0.9371  4 Co 2.44-2.60
Co1 0.1116 0.2500 0.6450  4 Co 2.65-2.89, 1 Ga 2.83, 4 Th 2.84-2.88
Co2 0.1991 0.2500 0.8096  1 Ga 2.59, 2 Co 2.80-2.89, 4 Th 2.83-2.85
Co3 0.2441 0.2500 0.0507  3 Ga 2.44-2.60, 2 Co 2.65
Co4 0.2559 0.7500 0.5507  3 Ga 2.44-2.60, 2 Co 2.65
Co5 0.3009 0.7500 0.3096  1 Ga 2.59, 2 Co 2.80-2.89, 4 Th 2.83-2.85
Co6 0.3884 0.7500 0.1450  4 Co 2.65-2.89, 1 Ga 2.83, 4 Th 2.84-2.88
Co7 0.6116 0.2500 0.8550  4 Co 2.65-2.89, 1 Ga 2.83, 4 Th 2.84-2.88
Co8 0.6991 0.2500 0.6904  1 Ga 2.59, 2 Co 2.80-2.89, 4 Th 2.83-2.85
Co9 0.7441 0.2500 0.4493  3 Ga 2.44-2.60, 2 Co 2.65
Co10 0.7559 0.7500 0.9493  3 Ga 2.44-2.60, 2 Co 2.65
Co11 0.8009 0.7500 0.1904  1 Ga 2.59, 2 Co 2.80-2.89, 4 Th 2.83-2.85
Co12 0.8884 0.7500 0.3550  4 Co 2.65-2.89, 1 Ga 2.83, 4 Th 2.84-2.88

***

The following is a DFT calculation (PBE) of crystalline ThGa2Co6 at its relaxed geometry.

Output
E (eV per atom): -5.783
Formation energy from the elements (eV per atom): 0.451

Lattice parameters (Å, degrees): 7.4053 7.4053 7.4053 60.00 60.00 60.00
Closest atoms and distances in Å follow each position.
Element x y z (fractional)
Th1 0.1250 0.1250 0.1250  6 Co 2.52
Th2 0.8750 0.8750 0.8750  6 Co 2.52
Ga1 0.0000 0.5000 0.5000  6 Co 2.32
Ga2 0.5000 0.0000 0.5000  6 Co 2.32
Ga3 0.5000 0.5000 0.0000  6 Co 2.32
Ga4 0.5000 0.5000 0.5000  6 Co 2.32
Co1 0.1161 0.1161 0.6339  2 Ga 2.32, 1 Th 2.52
Co2 0.1161 0.6339 0.1161  2 Ga 2.32, 1 Th 2.52
Co3 0.1161 0.6339 0.6339  2 Ga 2.32, 1 Th 2.52
Co4 0.3661 0.3661 0.8839  2 Ga 2.32, 1 Th 2.52
Co5 0.3661 0.8839 0.3661  2 Ga 2.32, 1 Th 2.52
Co6 0.3661 0.8839 0.8839  2 Ga 2.32, 1 Th 2.52
Co7 0.6339 0.1161 0.1161  2 Ga 2.32, 1 Th 2.52
Co8 0.6339 0.1161 0.6339  2 Ga 2.32, 1 Th 2.52
Co9 0.6339 0.6339 0.1161  2 Ga 2.32, 1 Th 2.52
Co10 0.8839 0.3661 0.3661  2 Ga 2.32, 1 Th 2.52
Co11 0.8839 0.3661 0.8839  2 Ga 2.32, 1 Th 2.52
Co12 0.8839 0.8839 0.3661  2 Ga 2.32, 1 Th 2.52